No. 1
Here is a relaxed MgSc2AsC crystal from the Alexandria database. Energies are from PBE-GGA.

Unit cell a=4.498 b=4.498 c=4.219 alpha=90.00 beta=90.00 gamma=90.00
Element x y z (fractional)
Sc: 0.000 0.500 0.000
Sc: 0.500 0.000 0.000
C: 0.000 0.000 0.000
As: 0.500 0.500 0.500
Mg: 0.000 0.000 0.500

Values from the calculation:
Spin magnetization (μB per atom): 0.0000
E_form (eV/atom): -0.63
Space group: P4/mmm (123)
Raw total energy (eV/atom): -6.258

---

No. 2
Here is a relaxed MgAs2CSe crystal from the Alexandria database. Energies are from PBE-GGA.

Unit cell a=4.413 b=4.413 c=4.513 alpha=90.00 beta=90.00 gamma=90.00
Element x y z (fractional)
C: 0.000 0.000 0.000
As: 0.000 0.500 0.000
As: 0.500 0.000 0.000
Mg: 0.500 0.500 0.500
Se: 0.000 0.000 0.500

Values from the calculation:
Spin magnetization (μB per atom): 0.0000
E_form (uncorrected) (eV per atom): 0.79
Relative energy among the computed polymorphs (meV/atom): 0
Space group: P4/mmm (123)
Raw total energy (eV/atom): -3.925

---

No. 3
Here is a relaxed MgAsCSe2 crystal from the Alexandria database. Energies are from PBE-GGA.

Unit cell a=4.987 b=4.987 c=5.010 alpha=90.00 beta=90.00 gamma=90.00
Element x y z (fractional)
C: 0.500 0.500 0.500
As: 0.000 0.000 0.500
Mg: 0.000 0.000 0.000
Se: 0.000 0.500 0.000
Se: 0.500 0.000 0.000

Values from the calculation:
Spin magnetization (μB per atom): 0.1650
E_form (uncorrected) (eV per atom): 1.73
Relative energy among the computed polymorphs (meV/atom): 987
Space group: P4/mmm (123)
Raw total energy (eV/atom): -2.759

---

No. 4
Here is a relaxed MgAs2CSe crystal from the Alexandria database. Energies are from PBE-GGA.

Unit cell a=4.995 b=4.995 c=4.904 alpha=90.00 beta=90.00 gamma=90.00
Element x y z (fractional)
C: 0.500 0.500 0.500
As: 0.000 0.500 0.000
As: 0.500 0.000 0.000
Mg: 0.000 0.000 0.000
Se: 0.000 0.000 0.500

Values from the calculation:
Spin magnetization (μB per atom): 0.2606
E_form (uncorrected) (eV per atom): 1.87
Relative energy among the computed polymorphs (meV/atom): 1073
Space group: P4/mmm (123)
Raw total energy (eV/atom): -2.852

---

No. 5
Here is a relaxed MgAsC2Se crystal from the Alexandria database. Energies are from PBE-GGA.

Unit cell a=4.127 b=5.304 c=4.127 alpha=90.00 beta=90.00 gamma=90.00
Element x y z (fractional)
C: 0.000 0.000 0.500
C: 0.500 0.000 0.000
As: 0.000 0.500 0.000
Mg: 0.000 0.000 0.000
Se: 0.500 0.500 0.500

Values from the calculation:
Spin magnetization (μB per atom): 0.0000
E_form (uncorrected) (eV per atom): 2.24
Space group: P4/mmm (123)
Raw total energy (eV/atom): -3.396

---

No. 6
Here is a relaxed MgAsCSe2 crystal from the Alexandria database. Energies are from PBE-GGA.

Unit cell a=4.709 b=4.709 c=4.086 alpha=90.00 beta=90.00 gamma=90.00
Element x y z (fractional)
C: 0.000 0.000 0.000
As: 0.000 0.000 0.500
Mg: 0.500 0.500 0.500
Se: 0.000 0.500 0.000
Se: 0.500 0.000 0.000

Values from the calculation:
Spin magnetization (μB per atom): 0.0000
E_form (uncorrected) (eV per atom): 0.74
Relative energy among the computed polymorphs (meV/atom): 0
Space group: P4/mmm (123)
Raw total energy (eV/atom): -3.746

---

No. 7
Here is a relaxed Y2MgAsC crystal from the Alexandria database. Energies are from PBE-GGA.

Unit cell a=4.902 b=4.902 c=4.221 alpha=90.00 beta=90.00 gamma=90.00
Element x y z (fractional)
Y: 0.000 0.500 0.000
Y: 0.500 0.000 0.000
C: 0.000 0.000 0.000
As: 0.500 0.500 0.500
Mg: 0.000 0.000 0.500

Values from the calculation:
Spin magnetization (μB per atom): 0.0000
Relative energy among the computed polymorphs (meV/atom): 0
E_form (eV/atom): -0.58
Space group: P4/mmm (123)
Raw total energy (eV/atom): -6.255

---

No. 8
Here is a relaxed Y2MgAsC crystal from the Alexandria database. Energies are from PBE-GGA.

Unit cell a=4.872 b=4.571 c=4.872 alpha=90.00 beta=90.00 gamma=90.00
Element x y z (fractional)
Y: 0.000 0.000 0.500
Y: 0.500 0.000 0.000
C: 0.000 0.000 0.000
As: 0.000 0.500 0.000
Mg: 0.500 0.500 0.500

Values from the calculation:
Spin magnetization (μB per atom): 0.0000
Relative energy among the computed polymorphs (meV/atom): 536
E_form (eV/atom): -0.04
Space group: P4/mmm (123)
Raw total energy (eV/atom): -5.719

---

No. 9
Here is a relaxed Mg2ZrAsC crystal from the Alexandria database. Energies are from PBE-GGA.

Unit cell a=4.112 b=5.483 c=4.112 alpha=90.00 beta=90.00 gamma=90.00
Element x y z (fractional)
C: 0.000 0.000 0.000
As: 0.000 0.500 0.000
Mg: 0.000 0.000 0.500
Mg: 0.500 0.000 0.000
Zr: 0.500 0.500 0.500

Values from the calculation:
Spin magnetization (μB per atom): 0.0000
E_form (eV/atom): 0.39
Space group: P4/mmm (123)
Raw total energy (eV/atom): -4.729

---

No. 10
Here is a relaxed MnAs3C crystal from the Alexandria database. Energies are from PBE-GGA.

Unit cell a=4.228 b=4.228 c=4.228 alpha=90.00 beta=90.00 gamma=90.00
Element x y z (fractional)
As: 0.000 0.500 0.000
As: 0.000 0.000 0.500
As: 0.500 0.000 0.000
Mn: 0.500 0.500 0.500
C: 0.000 0.000 0.000

Values from the calculation:
Spin magnetization (μB per atom): 0.0003
Relative energy among the computed polymorphs (meV/atom): 0
E_form (eV/atom): 1.36
Space group: Pm-3m (221)
Raw total energy (eV/atom): -5.108

---

No. 11
Here is a relaxed Mn3AsC crystal from the Alexandria database. Energies are from PBE-GGA.

Unit cell a=3.812 b=3.812 c=3.812 alpha=90.00 beta=90.00 gamma=90.00
Element x y z (fractional)
As: 0.500 0.500 0.500
Mn: 0.000 0.500 0.000
Mn: 0.000 0.000 0.500
Mn: 0.500 0.000 0.000
C: 0.000 0.000 0.000

Values from the calculation:
Spin magnetization (μB per atom): 0.6303
E_form (eV/atom): 0.07
Space group: Pm-3m (221)
Raw total energy (eV/atom): -8.203

---

No. 12
Here is a relaxed MnAs3C crystal from the Alexandria database. Energies are from PBE-GGA.

Unit cell a=4.509 b=4.509 c=4.509 alpha=90.00 beta=90.00 gamma=90.00
Element x y z (fractional)
As: 0.000 0.500 0.000
As: 0.000 0.000 0.500
As: 0.500 0.000 0.000
Mn: 0.000 0.000 0.000
C: 0.500 0.500 0.500

Values from the calculation:
Spin magnetization (μB per atom): 0.0849
Relative energy among the computed polymorphs (meV/atom): 152
E_form (eV/atom): 1.51
Space group: Pm-3m (221)
Raw total energy (eV/atom): -4.956

---

No. 13
Here is a relaxed MnAsC2 crystal from the Alexandria database. Energies are from PBE-GGA.

Unit cell a=4.622 b=4.622 c=5.466 alpha=64.99 beta=64.99 gamma=90.00
Element x y z (fractional)
As: 0.000 0.000 0.000
As: 0.750 0.250 0.500
Mn: 0.500 0.500 0.000
Mn: 0.250 0.750 0.500
C: 0.621 0.125 0.250
C: 0.129 0.625 0.250
C: 0.375 0.379 0.750
C: 0.875 0.871 0.750

Values from the calculation:
Spin magnetization (μB per atom): 0.5305
E_form (eV/atom): 0.83
Space group: I-42d (122)
Raw total energy (eV/atom): -7.242